No. 1
Computed, not measured: a relaxed Cs2SrCu2Br6 crystal at the PBE level of DFT.

Unit cell a=7.927 b=7.966 c=8.884 alpha=114.91 beta=90.00 gamma=119.84
Last column: magnetic moment on the atom in μB.
Fractional positions:
Cs1 0.715 0.430 0.199  0.00
Cs2 0.285 0.570 0.801  0.00
Sr1 0.500 0.000 0.500  0.00
Cu1 0.942 0.885 0.743  0.07
Cu2 0.058 0.115 0.257  0.07
Br1 0.749 0.498 0.640  0.00
Br2 0.207 0.908 0.208  0.01
Br3 0.298 0.092 0.792  0.01
Br4 0.793 0.092 0.792  0.01
Br5 0.702 0.908 0.208  0.01
Br6 0.251 0.502 0.360  0.00

Properties
Symmetry ... C2/m, No. 12
ΔE_f (raw) ... -1.32 eV per atom
Theoretical density ... 3.75 Mg/m³



No. 2
Computed, not measured: a relaxed CsTaCu2Br8 crystal at the PBE level of DFT.

Unit cell a=6.496 b=6.496 c=12.463 alpha=74.89 beta=74.89 gamma=60.00
Fractional positions:
Cs1 0.000 0.000 0.000
Ta1 0.500 0.500 0.500
Cu1 0.762 0.762 0.713
Cu2 0.238 0.238 0.287
Br1 0.697 0.697 0.908
Br2 0.303 0.303 0.092
Br3 0.561 0.236 0.361
Br4 0.764 0.439 0.639
Br5 0.158 0.764 0.639
Br6 0.236 0.842 0.361
Br7 0.842 0.561 0.361
Br8 0.439 0.158 0.639

Properties
Symmetry ... R32, No. 155
ΔE_f (raw) ... -0.75 eV per atom
Theoretical density ... 4.13 Mg/m³



No. 3
Computed, not measured: a relaxed CsTbCu2Br8 crystal at the PBE level of DFT.

Unit cell a=6.621 b=6.621 c=10.818 alpha=86.80 beta=86.80 gamma=72.60
Last column: magnetic moment on the atom in μB.
Fractional positions:
Cs1 0.000 0.000 0.500  0.00
Tb1 0.000 0.000 0.000  0.01
Cu1 0.630 0.630 0.209  0.45
Cu2 0.370 0.370 0.791  0.45
Br1 0.764 0.243 0.803  0.10
Br2 0.735 0.735 0.007  0.08
Br3 0.665 0.665 0.418  0.17
Br4 0.335 0.335 0.582  0.17
Br5 0.265 0.265 0.993  0.08
Br6 0.243 0.764 0.803  0.10
Br7 0.757 0.236 0.197  0.10
Br8 0.236 0.757 0.197  0.10

Properties
Symmetry ... C2/m, No. 12
ΔE_f (raw) ... -1.01 eV per atom
Theoretical density ... 3.89 Mg/m³



No. 4
Computed, not measured: a relaxed CsCuTcBr2 crystal at the PBE level of DFT.

Unit cell a=4.986 b=5.719 c=4.986 alpha=90.00 beta=90.00 gamma=90.00
Last column: magnetic moment on the atom in μB.
Fractional positions:
Cs1 0.000 0.500 0.000  0.05
Cu1 0.000 0.000 0.000  0.02
Tc1 0.500 0.500 0.500  3.72
Br1 0.000 0.000 0.500  0.06
Br2 0.500 0.000 0.000  0.06

Properties
Symmetry ... P4/mmm, No. 123
ΔE_f (raw) ... 0.75 eV per atom
Theoretical density ... 5.30 Mg/m³



No. 5
Computed, not measured: a relaxed CsCu2TcBr8 crystal at the PBE level of DFT.

Unit cell a=6.502 b=6.502 c=10.399 alpha=82.35 beta=82.35 gamma=67.88
Last column: magnetic moment on the atom in μB.
Fractional positions:
Cs1 0.000 0.000 0.500  0.00
Cu1 0.626 0.626 0.195  -0.13
Cu2 0.374 0.374 0.805  -0.13
Tc1 0.000 0.000 0.000  1.91
Br1 0.786 0.273 0.823  0.03
Br2 0.767 0.767 0.993  0.01
Br3 0.667 0.667 0.408  -0.07
Br4 0.333 0.333 0.592  -0.07
Br5 0.233 0.233 0.007  0.01
Br6 0.273 0.786 0.823  0.03
Br7 0.727 0.214 0.177  0.03
Br8 0.214 0.727 0.177  0.03

Properties
Symmetry ... C2/m, No. 12
ΔE_f (raw) ... -0.57 eV per atom
Theoretical density ... 4.12 Mg/m³



No. 6
Computed, not measured: a relaxed Cs2CuTcBr6 crystal at the PBE level of DFT.

Unit cell a=7.517 b=7.517 c=7.752 alpha=61.00 beta=61.00 gamma=90.00
Last column: magnetic moment on the atom in μB.
Fractional positions:
Cs1 0.750 0.250 0.500  0.00
Cs2 0.250 0.750 0.500  0.00
Cu1 0.500 0.500 0.000  -0.03
Tc1 0.000 0.000 0.000  3.14
Br1 0.228 0.228 0.544  0.05
Br2 0.772 0.772 0.456  0.05
Br3 0.256 0.256 0.000  0.04
Br4 0.744 0.744 0.000  0.04
Br5 0.744 0.256 0.000  0.04
Br6 0.256 0.744 0.000  0.04

Properties
Symmetry ... I4/mmm, No. 139
ΔE_f (raw) ... -0.85 eV per atom
Theoretical density ... 4.72 Mg/m³



No. 7
Computed, not measured: a relaxed CsCuTeBr2 crystal at the PBE level of DFT.

Unit cell a=5.040 b=6.686 c=5.040 alpha=90.00 beta=90.00 gamma=90.00
Last column: magnetic moment on the atom in μB.
Fractional positions:
Cs1 0.000 0.500 0.000  0.03
Te1 0.500 0.500 0.500  0.74
Cu1 0.000 0.000 0.000  -0.01
Br1 0.000 0.000 0.500  0.05
Br2 0.500 0.000 0.000  0.06

Properties
Symmetry ... P4/mmm, No. 123
ΔE_f (raw) ... -0.21 eV per atom
Theoretical density ... 4.73 Mg/m³



No. 8
Computed, not measured: a relaxed CsCuTeBr6 crystal at the PBE level of DFT.

Unit cell a=7.576 b=7.576 c=7.779 alpha=92.89 beta=87.11 gamma=54.94
Last column: magnetic moment on the atom in μB.
Fractional positions:
Cs1 0.034 0.034 0.000  0.00
Cu1 0.618 0.618 0.500  0.08
Te1 0.330 0.330 0.500  0.00
Br1 0.965 0.446 0.332  0.00
Br2 0.446 0.965 0.668  0.00
Br3 0.662 0.319 0.658  0.01
Br4 0.057 0.570 0.786  0.00
Br5 0.319 0.662 0.342  0.01
Br6 0.570 0.057 0.214  0.00

Properties
Symmetry ... C2, No. 5
ΔE_f (raw) ... -0.66 eV per atom
Theoretical density ... 3.67 Mg/m³



No. 9
Computed, not measured: a relaxed CsTiCuBr6 crystal at the PBE level of DFT.

Unit cell a=7.283 b=7.284 c=7.857 alpha=92.36 beta=87.63 gamma=54.11
Last column: magnetic moment on the atom in μB.
Fractional positions:
Cs1 0.040 0.040 0.000  0.00
Ti1 0.337 0.337 0.500  -0.01
Cu1 0.616 0.616 0.500  0.07
Br1 0.986 0.422 0.347  0.01
Br2 0.422 0.986 0.653  0.01
Br3 0.662 0.297 0.651  0.01
Br4 0.066 0.575 0.750  0.00
Br5 0.297 0.661 0.349  0.01
Br6 0.575 0.066 0.250  0.00

Properties
Symmetry ... C2, No. 5
ΔE_f (raw) ... -1.10 eV per atom
Theoretical density ... 3.57 Mg/m³



No. 10
Computed, not measured: a relaxed CsTiCu2Br8 crystal at the PBE level of DFT.

Unit cell a=6.532 b=6.532 c=10.415 alpha=84.15 beta=84.15 gamma=68.51
Last column: magnetic moment on the atom in μB.
Fractional positions:
Cs1 0.000 0.000 0.500  0.00
Ti1 0.000 0.000 0.000  -0.06
Cu1 0.632 0.632 0.202  0.28
Cu2 0.368 0.368 0.798  0.28
Br1 0.778 0.260 0.824  0.04
Br2 0.765 0.765 0.000  0.05
Br3 0.667 0.667 0.417  0.12
Br4 0.333 0.333 0.583  0.12
Br5 0.235 0.235 0.000  0.05
Br6 0.260 0.778 0.824  0.04
Br7 0.740 0.222 0.176  0.04
Br8 0.222 0.740 0.176  0.04

Properties
Symmetry ... C2/m, No. 12
ΔE_f (raw) ... -0.87 eV per atom
Theoretical density ... 3.83 Mg/m³



No. 11
Computed, not measured: a relaxed Cs2TlCu2Br7 crystal at the PBE level of DFT.

Unit cell a=5.287 b=5.287 c=14.316 alpha=79.31 beta=79.31 gamma=90.00
Fractional positions:
Cs1 0.820 0.820 0.359
Cs2 0.180 0.180 0.641
Tl1 0.000 0.000 0.000
Cu1 0.593 0.593 0.815
Cu2 0.407 0.407 0.185
Br1 0.500 0.500 0.000
Br2 0.315 0.315 0.369
Br3 0.685 0.685 0.631
Br4 0.913 0.412 0.174
Br5 0.412 0.913 0.174
Br6 0.588 0.087 0.826
Br7 0.087 0.588 0.826

Properties
Symmetry ... C2/m, No. 12
ΔE_f (raw) ... -0.87 eV per atom
Theoretical density ... 4.97 Mg/m³



No. 12
Computed, not measured: a relaxed CsTl2Cu2Br7 crystal at the PBE level of DFT.

Unit cell a=7.326 b=7.326 c=11.956 alpha=72.16 beta=72.16 gamma=60.00
Last column: magnetic moment on the atom in μB.
Fractional positions:
Cs1 0.500 0.500 0.500  0.00
Tl1 0.696 0.696 0.911  0.01
Tl2 0.304 0.304 0.089  0.01
Cu1 0.926 0.926 0.221  0.47
Cu2 0.074 0.074 0.779  0.47
Br1 0.218 0.931 0.267  0.11
Br2 0.584 0.218 0.267  0.11
Br3 0.931 0.584 0.267  0.11
Br4 0.416 0.069 0.733  0.11
Br5 0.782 0.416 0.733  0.11
Br6 0.000 0.000 0.000  0.22
Br7 0.069 0.782 0.733  0.11

Properties
Symmetry ... R32, No. 155
ΔE_f (raw) ... -0.68 eV per atom
Theoretical density ... 3.92 Mg/m³



No. 13
Computed, not measured: a relaxed Cs2TlCuBr4 crystal at the PBE level of DFT.

Unit cell a=4.757 b=9.977 c=17.600 alpha=90.00 beta=90.00 gamma=103.79
Fractional positions:
Cs1 0.375 0.750 0.547
Cs2 0.625 0.250 0.047
Cs3 0.625 0.250 0.453
Cs4 0.375 0.750 0.953
Tl1 0.185 0.371 0.750
Tl2 0.815 0.629 0.250
Cu1 0.790 0.579 0.750
Cu2 0.210 0.421 0.250
Br1 0.264 0.527 0.125
Br2 0.736 0.473 0.625
Br3 0.736 0.473 0.875
Br4 0.264 0.527 0.375
Br5 0.000 0.000 0.500
Br6 0.000 0.000 0.000
Br7 0.354 0.707 0.750
Br8 0.646 0.293 0.250

Properties
Symmetry ... Cmcm, No. 63
ΔE_f (raw) ... -1.13 eV per atom
Theoretical density ... 3.49 Mg/m³



No. 14
Computed, not measured: a relaxed Cs3TlCu2Br8 crystal at the PBE level of DFT.

Unit cell a=7.898 b=7.898 c=10.135 alpha=90.00 beta=90.00 gamma=120.00
Fractional positions:
Cs1 0.333 0.667 0.638
Cs2 0.667 0.333 0.362
Cs3 0.000 0.000 0.000
Tl1 0.000 0.000 0.500
Cu1 0.333 0.667 0.215
Cu2 0.667 0.333 0.785
Br1 0.333 0.667 0.986
Br2 0.667 0.333 0.014
Br3 0.171 0.829 0.321
Br4 0.829 0.171 0.679
Br5 0.171 0.342 0.321
Br6 0.829 0.658 0.679
Br7 0.658 0.829 0.321
Br8 0.342 0.171 0.679

Properties
Symmetry ... P-3m1, No. 164
ΔE_f (raw) ... -1.03 eV per atom
Theoretical density ... 4.15 Mg/m³



No. 15
Computed, not measured: a relaxed CsTlCuBr4 crystal at the PBE level of DFT.

Unit cell a=8.658 b=8.658 c=8.658 alpha=60.00 beta=60.00 gamma=60.00
Fractional positions:
Cs1 0.750 0.750 0.750
Tl1 0.500 0.500 0.500
Cu1 0.250 0.250 0.250
Br1 0.364 0.364 0.909
Br2 0.364 0.364 0.364
Br3 0.364 0.909 0.364
Br4 0.909 0.364 0.364

Properties
Symmetry ... F-43m, No. 216
ΔE_f (raw) ... -0.74 eV per atom
Theoretical density ... 2.61 Mg/m³



No. 16
Computed, not measured: a relaxed CsTlCu2Br4 crystal at the PBE level of DFT.

Unit cell a=7.919 b=7.347 c=7.347 alpha=72.09 beta=57.39 gamma=57.39
Fractional positions:
Cs1 0.000 0.000 0.000
Tl1 0.500 0.500 0.500
Cu1 0.153 0.347 0.347
Cu2 0.847 0.653 0.653
Br1 0.401 0.127 0.482
Br2 0.010 0.873 0.518
Br3 0.990 0.482 0.127
Br4 0.599 0.518 0.873

Properties
Symmetry ... I222, No. 23
ΔE_f (raw) ... -0.79 eV per atom
Theoretical density ... 4.29 Mg/m³



No. 17
Computed, not measured: a relaxed Cs3Tl3CuBr8 crystal at the PBE level of DFT.

Unit cell a=9.940 b=9.947 c=9.615 alpha=121.17 beta=90.00 gamma=119.98
Last column: magnetic moment on the atom in μB.
Fractional positions:
Cs1 0.500 0.000 0.500  0.00
Cs2 0.500 0.500 0.500  0.00
Cs3 0.000 0.500 0.500  0.00
Tl1 0.000 0.000 0.000  0.00
Tl2 0.000 0.500 0.000  0.00
Tl3 0.500 0.500 0.000  0.00
Cu1 0.000 0.000 0.500  0.48
Br1 0.242 0.484 0.226  0.00
Br2 0.758 0.516 0.774  0.00
Br3 0.806 0.612 0.294  0.07
Br4 0.194 0.388 0.706  0.07
Br5 0.805 0.988 0.293  0.07
Br6 0.195 0.012 0.707  0.07
Br7 0.183 0.988 0.293  0.07
Br8 0.817 0.012 0.707  0.07

Properties
Symmetry ... C2/m, No. 12
ΔE_f (raw) ... -1.08 eV per atom
Theoretical density ... 4.31 Mg/m³



No. 18
Computed, not measured: a relaxed CsTlCu2Br8 crystal at the PBE level of DFT.

Unit cell a=6.837 b=6.837 c=11.074 alpha=72.02 beta=72.02 gamma=60.00
Last column: magnetic moment on the atom in μB.
Fractional positions:
Cs1 0.000 0.000 0.000  0.00
Tl1 0.500 0.500 0.500  -0.02
Cu1 0.753 0.753 0.742  0.38
Cu2 0.247 0.247 0.258  0.38
Br1 0.677 0.677 0.970  0.21
Br2 0.323 0.323 0.030  0.21
Br3 0.562 0.233 0.320  0.10
Br4 0.767 0.438 0.680  0.10
Br5 0.115 0.767 0.680  0.10
Br6 0.233 0.885 0.320  0.10
Br7 0.885 0.562 0.320  0.10
Br8 0.438 0.115 0.680  0.10

Properties
Symmetry ... R32, No. 155
ΔE_f (raw) ... -0.53 eV per atom
Theoretical density ... 4.38 Mg/m³



No. 19
Computed, not measured: a relaxed Cs3TlCu2Br9 crystal at the PBE level of DFT.

Unit cell a=7.688 b=7.688 c=9.465 alpha=90.00 beta=90.00 gamma=120.00
Fractional positions:
Cs1 0.333 0.667 0.671
Cs2 0.000 0.000 0.000
Cs3 0.667 0.333 0.329
Tl1 0.000 0.000 0.500
Cu1 0.333 0.667 0.152
Cu2 0.667 0.333 0.848
Br1 0.824 0.176 0.681
Br2 0.824 0.648 0.681
Br3 0.352 0.176 0.681
Br4 0.648 0.824 0.319
Br5 0.176 0.352 0.319
Br6 0.176 0.824 0.319
Br7 0.500 0.000 0.000
Br8 0.000 0.500 0.000
Br9 0.500 0.500 0.000

Properties
Symmetry ... P-3m1, No. 164
ΔE_f (raw) ... -0.96 eV per atom
Theoretical density ... 4.97 Mg/m³



No. 20
Computed, not measured: a relaxed Cs2TmCuBr6 crystal at the PBE level of DFT.

Unit cell a=7.815 b=7.815 c=8.312 alpha=57.91 beta=57.91 gamma=82.50
Fractional positions:
Cs1 0.750 0.250 0.500
Cs2 0.250 0.750 0.500
Tm1 0.000 0.000 0.000
Cu1 0.500 0.500 0.000
Br1 0.234 0.234 0.532
Br2 0.766 0.766 0.000
Br3 0.272 0.728 0.000
Br4 0.728 0.272 0.000
Br5 0.234 0.234 0.000
Br6 0.766 0.766 0.468

Properties
Symmetry ... I4/mmm, No. 139
ΔE_f (raw) ... -1.51 eV per atom
Theoretical density ... 4.56 Mg/m³



No. 21
Computed, not measured: a relaxed Cs3TmCu2Br9 crystal at the PBE level of DFT.

Unit cell a=7.695 b=7.695 c=9.510 alpha=90.00 beta=90.00 gamma=120.00
Last column: magnetic moment on the atom in μB.
Fractional positions:
Cs1 0.333 0.667 0.669  0.00
Cs2 0.000 0.000 0.000  0.00
Cs3 0.667 0.333 0.331  0.00
Tm1 0.000 0.000 0.500  0.02
Cu1 0.333 0.667 0.132  0.29
Cu2 0.667 0.333 0.868  0.29
Br1 0.831 0.169 0.669  0.01
Br2 0.831 0.661 0.669  0.01
Br3 0.339 0.169 0.669  0.01
Br4 0.661 0.831 0.331  0.01
Br5 0.169 0.339 0.331  0.01
Br6 0.169 0.831 0.331  0.01
Br7 0.500 0.000 0.000  0.08
Br8 0.000 0.500 0.000  0.08
Br9 0.500 0.500 0.000  0.08

Properties
Symmetry ... P-3m1, No. 164
ΔE_f (raw) ... -1.31 eV per atom
Theoretical density ... 4.81 Mg/m³